[1]
A plane-wave DFT calculation with PBE-GGA was carried out for CaPr2Pd after structural relaxation.

```
CaPr2Pd
1.0
-1.630 3.135 1.077
-3.123 -1.050 -1.669
-2.841 -4.213 7.967
Pd Pr Ca
1 2 1
Direct
0.500 0.500 0.000 Pd
0.000 0.000 0.819 Pr
0.000 0.000 0.181 Pr
0.500 0.500 0.500 Ca
```

final energy	-4.49	eV per atom
DFT formation energy	-0.303	eV per atom
magnetic moment	0.0	μB per formula unit

[2]
A plane-wave DFT calculation with PBE-GGA was carried out for CaPrPd10 after structural relaxation.

```
CaPrPd10
1.0
4.486 0.000 0.000
0.000 5.357 0.000
0.000 0.000 9.280
Pd Pr Ca
10 1 1
Direct
0.000 0.500 0.833 Pd
0.500 0.500 0.000 Pd
0.500 0.249 0.249 Pd
0.000 0.500 0.167 Pd
0.000 0.000 0.666 Pd
0.000 0.000 0.334 Pd
0.500 0.249 0.751 Pd
0.500 0.751 0.249 Pd
0.500 0.000 0.500 Pd
0.500 0.751 0.751 Pd
0.000 0.000 0.000 Pr
0.000 0.500 0.500 Ca
```

final energy	-5.33	eV per atom
DFT formation energy	-0.442	eV per atom
magnetic moment	0.0	μB per formula unit

[3]
A plane-wave DFT calculation with PBE-GGA was carried out for Ca3Pr2Pd2 after structural relaxation.

```
Ca3Pr2Pd2
1.0
-2.697 2.162 -1.908
-3.296 -4.442 3.712
2.978 5.707 6.340
Pd Ca Pr
2 3 2
Direct
0.053 0.877 0.228 Pd
0.947 0.123 0.772 Pd
0.812 0.193 0.432 Ca
0.188 0.807 0.568 Ca
0.500 0.000 0.000 Ca
0.355 0.527 0.183 Pr
0.645 0.473 0.817 Pr
```

final energy	-4.14	eV per atom
DFT formation energy	-0.435	eV per atom
magnetic moment	0.0	μB per formula unit

[4]
A plane-wave DFT calculation with PBE-GGA was carried out for CaPrPd2 after structural relaxation.

```
CaPrPd2
1.0
4.188 0.000 0.000
2.094 3.627 0.000
2.094 1.209 6.910
Pd Pr Ca
2 1 1
Direct
0.250 0.250 0.251 Pd
0.750 0.750 0.749 Pd
0.500 0.500 0.500 Pr
0.000 0.000 0.000 Ca
```

final energy	-4.87	eV per atom
DFT formation energy	-0.578	eV per atom
magnetic moment	0.0	μB per formula unit

[5]
A plane-wave DFT calculation with PBE-GGA was carried out for Ca3PrPd2 after structural relaxation.

```
Ca3PrPd2
1.0
-4.552 -0.366 -0.524
0.621 -7.667 -0.034
-1.064 -0.127 9.327
Pd Ca Pr
4 6 2
Direct
0.000 0.252 0.627 Pd
0.500 0.242 0.141 Pd
0.500 0.742 0.859 Pd
0.000 0.752 0.373 Pd
0.000 0.479 0.916 Ca
0.500 0.147 0.823 Ca
0.500 0.647 0.177 Ca
0.000 0.979 0.084 Ca
0.000 0.357 0.313 Ca
0.000 0.857 0.687 Ca
0.500 0.024 0.419 Pr
0.500 0.524 0.581 Pr
```

final energy	-4.04	eV per atom
DFT formation energy	-0.513	eV per atom
magnetic moment	0.0	μB per formula unit

[6]
A plane-wave DFT calculation with PBE-GGA was carried out for Ca2PrPd2 after structural relaxation.

```
Ca2PrPd2
1.0
-2.263 3.705 1.161
-2.989 -3.046 3.895
9.891 4.631 4.504
Ca Pr Pd
4 2 4
Direct
0.250 0.770 0.880 Ca
0.750 0.230 0.120 Ca
0.750 0.711 0.463 Ca
0.250 0.289 0.537 Ca
0.750 0.192 0.788 Pr
0.250 0.808 0.212 Pr
0.750 0.121 0.355 Pd
0.250 0.879 0.645 Pd
0.250 0.334 0.972 Pd
0.750 0.666 0.028 Pd
```

final energy	-4.41	eV per atom
DFT formation energy	-0.573	eV per atom
magnetic moment	0.0	μB per formula unit